# HgTeI3, relaxed, DFT PBE
# **Space group**: No. 221
# **Crystal system**: cubic
# **Energy above the lowest structure with this stoichiometry**: 133.7 meV/atom
# **Uncorrected formation energy**: -0.01 eV/atom
# **Mass density**: 5.3 Mg/m³
data_HgTeI3
_chemical_formula_sum 'Hg1 Te1 I3'
_cell_length_a 6.0471
_cell_length_b 6.0471
_cell_length_c 6.0471
_cell_angle_alpha 90.00
_cell_angle_beta 90.00
_cell_angle_gamma 90.00
_symmetry_space_group_name_H-M 'P 1'
_symmetry_Int_Tables_number 1
loop_
_symmetry_equiv_pos_as_xyz
'x,y,z'
loop_
_atom_site_label
_atom_site_fract_x
_atom_site_fract_y
_atom_site_fract_z
Hg1 0.5000 0.5000 0.5000
I1 0.5000 0.0000 0.0000
I2 0.0000 0.0000 0.5000
I3 0.0000 0.5000 0.0000
Te1 0.0000 0.0000 0.0000

=====

# HgTe2I2, relaxed, DFT PBE
# **Space group**: No. 139
# **Crystal system**: tetragonal
# **Energy above the lowest structure with this stoichiometry**: 0.0 meV/atom
# **Uncorrected formation energy**: 0.16 eV/atom
# **Mass density**: 5.4 Mg/m³
data_HgTe2I2
_chemical_formula_sum 'Hg1 Te2 I2'
_cell_length_a 6.4204
_cell_length_b 6.4204
_cell_length_c 6.9455
_cell_angle_alpha 62.47
_cell_angle_beta 62.47
_cell_angle_gamma 90.00
_symmetry_space_group_name_H-M 'P 1'
_symmetry_Int_Tables_number 1
loop_
_symmetry_equiv_pos_as_xyz
'x,y,z'
loop_
_atom_site_label
_atom_site_fract_x
_atom_site_fract_y
_atom_site_fract_z
Hg1 0.0000 0.0000 0.0000
I1 0.7500 0.2500 0.5000
I2 0.2500 0.7500 0.5000
Te1 0.6205 0.6205 0.7591
Te2 0.3795 0.3795 0.2409

=====

# Hg3Te2I2, relaxed, DFT PBE
# **Space group**: No. 15
# **Crystal system**: monoclinic
# **Energy above the lowest structure with this stoichiometry**: 0.0 meV/atom
# **Uncorrected formation energy**: -0.24 eV/atom
# **Mass density**: 6.8 Mg/m³
data_Hg3Te2I2
_chemical_formula_sum 'Hg12 Te8 I8'
_cell_length_a 8.9101
_cell_length_b 8.9101
_cell_length_c 14.6614
_cell_angle_alpha 82.76
_cell_angle_beta 82.76
_cell_angle_gamma 71.31
_symmetry_space_group_name_H-M 'P 1'
_symmetry_Int_Tables_number 1
loop_
_symmetry_equiv_pos_as_xyz
'x,y,z'
loop_
_atom_site_label
_atom_site_fract_x
_atom_site_fract_y
_atom_site_fract_z
Hg1 0.8944 0.8828 0.6671
Hg2 0.1172 0.1056 0.8329
Hg3 0.3094 0.7508 0.5209
Hg4 0.6906 0.2492 0.4791
Hg5 0.5000 0.0000 0.0000
I1 0.6119 0.6367 0.6168
I2 0.6367 0.6119 0.1168
Te1 0.8848 0.3934 0.8498
Te2 0.5944 0.1226 0.1358
Te3 0.1152 0.6066 0.1502
I3 0.3881 0.3633 0.3832
Hg6 0.2492 0.6906 0.9791
Hg7 0.1056 0.1172 0.3329
Hg8 0.0000 0.5000 0.5000
I4 0.9130 0.8619 0.8818
Te4 0.6066 0.1152 0.6502
Te5 0.1226 0.5944 0.6358
I5 0.3633 0.3881 0.8832
I6 0.0870 0.1381 0.1182
Hg9 0.8828 0.8944 0.1671
Hg10 0.7508 0.3094 0.0209
Te6 0.3934 0.8848 0.3498
Te7 0.8774 0.4056 0.3642
Te8 0.4056 0.8774 0.8642
I7 0.8619 0.9130 0.3818
Hg11 0.3303 0.6697 0.2500
Hg12 0.6697 0.3303 0.7500
I8 0.1381 0.0870 0.6182

=====

# Hg3Te2I2, relaxed, DFT PBE
# **Space group**: No. 14
# **Crystal system**: monoclinic
# **Energy above the lowest structure with this stoichiometry**: 61.8 meV/atom
# **Uncorrected formation energy**: -0.18 eV/atom
# **Mass density**: 6.3 Mg/m³
data_Hg3Te2I2
_chemical_formula_sum 'Hg6 Te4 I4'
_cell_length_a 10.1355
_cell_length_b 7.6642
_cell_length_c 8.2199
_cell_angle_alpha 90.00
_cell_angle_beta 114.51
_cell_angle_gamma 90.00
_symmetry_space_group_name_H-M 'P 1'
_symmetry_Int_Tables_number 1
loop_
_symmetry_equiv_pos_as_xyz
'x,y,z'
loop_
_atom_site_label
_atom_site_fract_x
_atom_site_fract_y
_atom_site_fract_z
Hg1 0.2530 0.5726 0.8584
Hg2 0.5000 0.5000 0.5000
I1 0.2342 0.3311 0.1207
Hg3 0.7470 0.4274 0.1416
Te1 0.9334 0.1486 0.2660
Te2 0.0666 0.8514 0.7340
Te3 0.4334 0.3514 0.7660
Hg4 0.0000 0.0000 0.0000
Te4 0.5666 0.6486 0.2340
Hg5 0.2470 0.0726 0.6416
I2 0.7342 0.1689 0.6207
I3 0.7658 0.6689 0.8793
I4 0.2658 0.8311 0.3793
Hg6 0.7530 0.9274 0.3584